LiNpCl6: optimized geometry, PBE.

Results
energy relative to the elements, uncorrected = -1.524 eV/atom
energy above the most stable polymorph in this dataset = 10.8 meV/atom

a = 6.6775 Å, b = 6.6802 Å, c = 7.0838 Å
α = 61.93°, β = 61.89°, γ = 60.03°
Fractional positions:
Li 0.0000 0.0000 0.0000
Np 0.5000 0.5000 0.5000
Cl 0.1265 0.3859 0.7461
Cl 0.2588 0.8730 0.2538
Cl 0.3858 0.7413 0.7463
Cl 0.6142 0.2587 0.2537
Cl 0.7412 0.1270 0.7462
Cl 0.8735 0.6141 0.2539

Al4GaIr: optimized geometry, PBE.

Results
ΔE_f = -426 meV per atom

a = 7.3044 Å, b = 7.2883 Å, c = 6.0158 Å
α = 65.79°, β = 65.51°, γ = 48.69°
Fractional positions:
Al 0.0004 0.4988 0.7675
Al 0.9996 0.5012 0.2325
Al 0.2325 0.7666 0.9996
Al 0.2334 0.7675 0.4988
Al 0.4988 0.0004 0.2334
Al 0.5012 0.9996 0.7666
Al 0.7675 0.2334 0.0004
Al 0.7666 0.2325 0.5012
Ga 0.3750 0.3750 0.3750
Ga 0.6250 0.6250 0.6250
Ir 0.1250 0.1250 0.1250
Ir 0.8750 0.8750 0.8750

Os3SeO: optimized geometry, PBE.

Results
energy relative to the elements, uncorrected = 2.482 eV/atom
energy above the most stable polymorph in this dataset = 1178.3 meV/atom

a = 4.5587 Å, b = 4.5587 Å, c = 4.5587 Å
α = 90.00°, β = 90.00°, γ = 90.00°
Fractional positions:
Os 0.0000 0.0000 0.5000
Os 0.0000 0.5000 0.0000
Os 0.5000 0.0000 0.0000
Se 0.0000 0.0000 0.0000
O 0.5000 0.5000 0.5000

K3Br2O8: optimized geometry, PBE.

Results
energy relative to the elements, uncorrected = -0.506 eV/atom

a = 8.1884 Å, b = 8.1884 Å, c = 8.1884 Å
α = 42.71°, β = 42.71°, γ = 42.71°
Fractional positions:
K 0.0000 0.0000 0.0000
K 0.2055 0.2055 0.2055
K 0.7945 0.7945 0.7945
Br 0.4074 0.4074 0.4074
Br 0.5926 0.5926 0.5926
O 0.2511 0.7273 0.7273
O 0.2727 0.2727 0.7489
O 0.2727 0.7489 0.2727
O 0.3320 0.3320 0.3320
O 0.6680 0.6680 0.6680
O 0.7273 0.2511 0.7273
O 0.7273 0.7273 0.2511
O 0.7489 0.2727 0.2727

CaGdZnPt: optimized geometry, PBE.

Results
ΔE_f = -677 meV per atom

a = 5.0179 Å, b = 5.0179 Å, c = 5.0179 Å
α = 60.00°, β = 60.00°, γ = 60.00°
Fractional positions:
Ca 0.0000 0.0000 0.0000
Gd 0.5000 0.5000 0.5000
Zn 0.2500 0.2500 0.2500
Pt 0.7500 0.7500 0.7500

NbInRh2Pb: optimized geometry, PBE.

Results
ΔE_f = 1358 meV per atom

a = 4.9584 Å, b = 4.9584 Å, c = 5.2418 Å
α = 90.00°, β = 90.00°, γ = 90.00°
Fractional positions:
Nb 0.0000 0.0000 0.0000
In 0.5000 0.5000 0.0000
Rh 0.0000 0.5000 0.5000
Rh 0.5000 0.0000 0.5000
Pb 0.0000 0.0000 0.5000

| no. | total energy (eV per atom) |
| --- | --- |
| 1 | -4.766 |
| 2 | -4.903 |
| 3 | -5.944 |
| 4 | -4.068 |
| 5 | -6.526 |
| 6 | -4.885 |